# 1
KTaCd | PBE-GGA | relaxed

Its spin magnetization is 0.087 μB per atom. The calculation puts the distance to the lowest polymorph of the same formula at 1.35 eV per formula unit. The calculation puts the volume at 74.43 Å³ per cell.

Cell lengths 8.879, 8.880, 2.936 Å; angles 80.48, 80.49, 19.03 degrees
Site moments in Bohr magnetons follow the coordinates.
Fractional coordinates of all 3 atoms:
1 K 0.666 0.666 0.334  0.03
2 Cd 0.983 0.983 0.017  0.00
3 Ta 0.352 0.352 0.648  0.08

# 2
KTaCd | PBE-GGA | relaxed

Its spin magnetization is 0.000 μB per atom. The calculation puts the distance to the lowest polymorph of the same formula at 0.98 eV per formula unit. The calculation puts the volume at 153.47 Å³ per cell.

Cell lengths 11.487, 6.516, 6.516 Å; angles 153.29, 134.02, 45.98 degrees
Fractional coordinates of all 6 atoms:
1 Ta 0.887 0.267 0.733
2 Ta 0.113 0.733 0.267
3 K 0.318 0.870 0.130
4 K 0.682 0.130 0.870
5 Cd 0.500 0.000 0.000
6 Cd 0.000 0.500 0.500

# 3
KTaCd | PBE-GGA | relaxed

Its spin magnetization is 0.000 μB per atom. The calculation puts the distance to the lowest polymorph of the same formula at 0.63 eV per formula unit. The calculation puts the volume at 182.08 Å³ per cell.

Cell lengths 12.621, 3.032, 4.983 Å; angles 105.91, 88.24, 84.13 degrees
Fractional coordinates of all 6 atoms:
1 Ta 0.761 0.222 0.704
2 Ta 0.830 0.584 0.236
3 Cd 0.057 0.993 0.299
4 Cd 0.964 0.738 0.776
5 K 0.248 0.157 0.791
6 K 0.554 0.170 0.234

# 4
KTaCd | PBE-GGA | relaxed

Its spin magnetization is 0.000 μB per atom. The calculation puts the distance to the lowest polymorph of the same formula at 0.28 eV per formula unit. The calculation puts the volume at 154.12 Å³ per cell.

Cell lengths 17.035, 3.081, 3.081 Å; angles 106.24, 94.14, 94.18 degrees
Fractional coordinates of all 6 atoms:
1 K 0.366 0.186 0.147
2 K 0.606 0.263 0.225
3 Cd 0.187 0.587 0.547
4 Cd 0.785 0.861 0.824
5 Ta 0.046 0.008 0.969
6 Ta 0.925 0.440 0.402

# 5
KTaCd | PBE-GGA | relaxed

Its spin magnetization is 0.000 μB per atom. The calculation puts the distance to the lowest polymorph of the same formula at 2.25 eV per formula unit. The calculation puts the volume at 191.88 Å³ per cell.

Cell lengths 5.355, 5.355, 7.725 Å; angles 90.00, 90.00, 120.00 degrees
Fractional coordinates of all 6 atoms:
1 Cd 0.333 0.667 0.692
2 Cd 0.333 0.667 0.308
3 K 0.667 0.333 0.500
4 K 0.667 0.333 0.000
5 Ta 0.000 0.000 0.346
6 Ta 0.000 0.000 0.654

# 6
KTaCd | PBE-GGA | relaxed

Its spin magnetization is 0.000 μB per atom. The calculation puts the distance to the lowest polymorph of the same formula at 1.11 eV per formula unit. The calculation puts the volume at 182.23 Å³ per cell.

Cell lengths 7.215, 7.215, 5.252 Å; angles 90.00, 90.00, 41.80 degrees
Fractional coordinates of all 6 atoms:
1 K 0.500 0.500 0.755
2 K 0.000 0.000 0.255
3 Ta 0.000 0.500 0.757
4 Ta 0.500 0.000 0.757
5 Cd 0.703 0.703 0.257
6 Cd 0.297 0.297 0.257

# 7
KTaCd | PBE-GGA | relaxed

Its spin magnetization is 1.329 μB per atom. The calculation puts the distance to the lowest polymorph of the same formula at 5.23 eV per formula unit. The calculation puts the volume at 325.40 Å³ per cell.

Cell lengths 5.771, 5.771, 11.281 Å; angles 90.00, 90.00, 120.00 degrees
Site moments in Bohr magnetons follow the coordinates.
Fractional coordinates of all 6 atoms:
1 Ta 0.000 0.000 0.500  2.15
2 Ta 0.000 0.000 0.000  2.21
3 Cd 0.000 0.000 0.250  0.08
4 Cd 0.000 0.000 0.750  0.08
5 K 0.667 0.333 0.750  0.02
6 K 0.333 0.667 0.250  0.02

# 8
KTaCd | PBE-GGA | relaxed

Its spin magnetization is 0.000 μB per atom. The calculation puts the distance to the lowest polymorph of the same formula at 0.91 eV per formula unit. The calculation puts the volume at 315.65 Å³ per cell.

Cell lengths 11.185, 2.920, 9.664 Å; angles 90.00, 90.00, 90.00 degrees
Fractional coordinates of all 12 atoms:
1 Ta 0.599 0.250 0.033
2 Ta 0.099 0.250 0.467
3 Ta 0.401 0.750 0.967
4 Ta 0.901 0.750 0.533
5 K 0.571 0.250 0.664
6 K 0.429 0.750 0.336
7 K 0.071 0.250 0.836
8 K 0.929 0.750 0.164
9 Cd 0.286 0.750 0.656
10 Cd 0.786 0.750 0.844
11 Cd 0.714 0.250 0.344
12 Cd 0.214 0.250 0.156

# 9
KTaCd | PBE-GGA | relaxed

Its spin magnetization is 0.000 μB per atom. The calculation puts the distance to the lowest polymorph of the same formula at 0.49 eV per formula unit. The calculation puts the volume at 194.10 Å³ per cell.

Cell lengths 12.396, 3.145, 4.980 Å; angles 90.00, 90.02, 88.75 degrees
Fractional coordinates of all 6 atoms:
1 K 0.333 0.613 0.299
2 K 0.644 0.169 0.799
3 Ta 0.918 0.147 0.797
4 Ta 0.090 0.632 0.797
5 Cd 0.076 0.133 0.297
6 Cd 0.853 0.653 0.297

# 10
KTaCd | PBE-GGA | relaxed

Its spin magnetization is 0.000 μB per atom. The calculation puts the distance to the lowest polymorph of the same formula at 1.03 eV per formula unit. The calculation puts the volume at 180.06 Å³ per cell.

Cell lengths 7.194, 7.194, 5.156 Å; angles 90.00, 90.00, 137.56 degrees
Fractional coordinates of all 6 atoms:
1 K 0.723 0.277 0.750
2 K 0.277 0.723 0.250
3 Cd 0.549 0.451 0.250
4 Cd 0.451 0.549 0.750
5 Ta 0.000 0.000 0.000
6 Ta 0.000 0.000 0.500

# 11
KTaCd | PBE-GGA | relaxed

Its spin magnetization is 0.000 μB per atom. The calculation puts the distance to the lowest polymorph of the same formula at 1.28 eV per formula unit. The calculation puts the volume at 71.72 Å³ per cell.

Cell lengths 3.033, 3.033, 9.005 Å; angles 90.00, 90.00, 120.00 degrees
Fractional coordinates of all 3 atoms:
1 Ta 0.333 0.667 0.692
2 K 0.667 0.333 0.330
3 Cd 0.000 0.000 0.978

# 12
KTaCd | PBE-GGA | relaxed

Its spin magnetization is 0.000 μB per atom. The calculation puts the distance to the lowest polymorph of the same formula at 0.31 eV per formula unit. The calculation puts the volume at 180.34 Å³ per cell.

Cell lengths 3.462, 3.564, 14.616 Å; angles 90.00, 89.96, 90.00 degrees
Fractional coordinates of all 6 atoms:
1 K 0.287 0.000 0.452
2 K 0.788 0.500 0.739
3 Cd 0.791 0.500 0.047
4 Cd 0.291 0.000 0.924
5 Ta 0.790 0.500 0.253
6 Ta 0.290 0.000 0.171